Entry 1:
# LiLaHoGa

A relaxed LiLaHoGa crystal (GGA-PBE, the Alexandria database).

Cell lengths 5.229, 5.229, 5.229 Å; angles 60.00, 60.00, 60.00 degrees
Fractional positions:
Ga  0.250  0.250  0.250
Ho  0.500  0.500  0.500
La  0.000  0.000  0.000
Li  0.750  0.750  0.750

Computed properties:
- Space-group type: F-43m
- E_form: -0.2926 eV per atom
- Fermi-level density of states: 0.8785 states/eV per atom
- Volume: 25.3 Å³ per atom



Entry 2:
# PuMgTc

A relaxed PuMgTc crystal (GGA-PBE, the Alexandria database).

Cell lengths 3.248, 4.289, 9.314 Å; angles 90.00, 79.76, 90.01 degrees
Each line ends with the local moment (μB).
Fractional positions:
Mg  0.325  0.407  0.895  0.00
Mg  0.915  0.906  0.722  0.00
Pu  0.705  0.907  0.138  4.78
Pu  0.535  0.407  0.479  4.78
Tc  0.176  0.407  0.198  -0.78
Tc  0.064  0.907  0.419  -0.78

Computed properties:
- ΔE to the lowest computed polymorph: 0.000 eV/atom
- Space-group type: P2_1/m
- E_form: 0.0840 eV per atom
- Fermi-level density of states: 1.9060 states/eV per atom
- Volume: 21.3 Å³ per atom



Entry 3:
# MgCoReTc

A relaxed MgCoReTc crystal (GGA-PBE, the Alexandria database).

Cell lengths 4.296, 4.296, 4.296 Å; angles 60.00, 60.00, 60.00 degrees
Each line ends with the local moment (μB).
Fractional positions:
Tc  0.500  0.500  0.500  -0.15
Re  0.250  0.250  0.250  0.24
Co  0.000  0.000  0.000  0.90
Mg  0.750  0.750  0.750  -0.01

Computed properties:
- Space-group type: F-43m
- E_form: 0.1226 eV per atom
- Fermi-level density of states: 0.8839 states/eV per atom
- Volume: 14.0 Å³ per atom



Entry 4:
# LaZrSe2

A relaxed LaZrSe2 crystal (GGA-PBE, the Alexandria database).

Cell lengths 7.374, 7.374, 7.374 Å; angles 150.64, 150.27, 42.28 degrees
Fractional positions:
Se  0.031  0.031  0.000
Se  0.308  0.808  0.500
La  0.707  0.207  0.500
Zr  0.454  0.454  0.000

Computed properties:
- ΔE to the lowest computed polymorph: 0.059 eV/atom
- Space-group type: Imm2
- Fermi-level density of states: 0.8092 states/eV per atom
- Raw formation energy: -561 kJ/mol of formula units
- Volume: 24.3 Å³ per atom



Entry 5:
# TeMo2

A relaxed TeMo2 crystal (GGA-PBE, the Alexandria database).

Cell lengths 5.549, 5.549, 5.549 Å; angles 146.18, 146.18, 48.58 degrees
Fractional positions:
Mo  0.669  0.669  0.000
Mo  0.331  0.331  0.000
Te  0.000  0.000  0.000

Computed properties:
- ΔE to the lowest computed polymorph: 0.343 eV/atom
- Space-group type: I4/mmm
- Fermi-level density of states: 0.8721 states/eV per atom
- Raw formation energy: 111 kJ/mol of formula units
- Volume: 17.6 Å³ per atom



Entry 6:
# Th3Mg4Pt4

A relaxed Th3Mg4Pt4 crystal (GGA-PBE, the Alexandria database).

Cell lengths 3.942, 8.101, 8.876 Å; angles 117.15, 102.83, 90.00 degrees
Fractional positions:
Th  0.000  0.500  0.000
Th  0.113  0.113  0.227
Th  0.887  0.887  0.773
Mg  0.676  0.864  0.352
Mg  0.676  0.488  0.352
Mg  0.324  0.136  0.648
Mg  0.324  0.512  0.648
Pt  0.500  0.218  0.000
Pt  0.500  0.782  0.000
Pt  0.243  0.743  0.487
Pt  0.757  0.257  0.513

Computed properties:
- Space-group type: Immm
- E_form: -0.8940 eV per atom
- Fermi-level density of states: 0.6427 states/eV per atom
- Volume: 22.2 Å³ per atom